[1]
First-principles (PBE) data for ZrAlV after structural relaxation, as listed in Alexandria.

ΔH_f (0 K) in eV/atom: -0.02
ΔE to the lowest computed polymorph in meV per atom: 267

Cell lengths 4.578, 4.578, 2.965 Å; angles 90.00, 90.00, 120.00 degrees
Fractional positions:
Zr1 0.000 0.000 0.000
Al1 0.333 0.667 0.582
V1 0.667 0.333 0.349



[2]
First-principles (PBE) data for Be2InMo after structural relaxation, as listed in Alexandria.

ΔH_f (0 K) in eV/atom: 0.36

Cell lengths 4.512, 4.512, 5.053 Å; angles 97.57, 97.57, 36.04 degrees
Fractional positions:
Be1 0.237 0.237 0.162
Be2 0.763 0.763 0.838
In1 0.000 0.000 0.500
Mo1 0.500 0.500 0.000



[3]
First-principles (PBE) data for TlCr2Cl after structural relaxation, as listed in Alexandria.

ΔE to the lowest computed polymorph in meV per atom: 275

Cell lengths 3.409, 3.409, 8.492 Å; angles 90.00, 90.00, 119.98 degrees
Fractional positions:
Tl1 0.000 0.000 0.000
Cr1 0.500 0.500 0.266
Cr2 0.500 0.500 0.734
Cl1 0.000 0.000 0.500



[4]
First-principles (PBE) data for Sc4FeRu after structural relaxation, as listed in Alexandria.

ΔH_f (0 K) in eV/atom: 0.61
ΔE to the lowest computed polymorph in meV per atom: 914

Cell lengths 5.472, 5.472, 5.472 Å; angles 60.00, 60.00, 60.00 degrees
Fractional positions:
Sc1 0.125 0.125 0.125
Sc2 0.125 0.125 0.624
Sc3 0.125 0.624 0.125
Sc4 0.624 0.125 0.125
Fe1 0.750 0.750 0.750
Ru1 0.500 0.500 0.500



[5]
First-principles (PBE) data for LiAcEuRh after structural relaxation, as listed in Alexandria.

ΔH_f (0 K) in eV/atom: -0.26

Cell lengths 5.255, 5.255, 5.255 Å; angles 60.00, 60.00, 60.00 degrees
Fractional positions:
Li1 0.000 0.000 0.000
Ac1 0.250 0.250 0.250
Eu1 0.750 0.750 0.750
Rh1 0.500 0.500 0.500



[6]
First-principles (PBE) data for Sm4YEr6 after structural relaxation, as listed in Alexandria.

ΔH_f (0 K) in eV/atom: 0.31
ΔE to the lowest computed polymorph in meV per atom: 0

Cell lengths 9.699, 9.699, 9.699 Å; angles 140.27, 140.27, 57.45 degrees
Fractional positions:
Sm1 0.013 0.636 0.000
Sm2 0.364 0.364 0.377
Sm3 0.636 0.013 0.000
Sm4 0.987 0.987 0.623
Y1 0.000 0.000 0.000
Er1 0.000 0.500 0.500
Er2 0.194 0.194 0.643
Er3 0.448 0.806 0.000
Er4 0.500 0.000 0.500
Er5 0.552 0.552 0.357
Er6 0.806 0.448 0.000



[7]
First-principles (PBE) data for LaNd3Sm4Te8 after structural relaxation, as listed in Alexandria.

Cell lengths 8.978, 8.978, 8.978 Å; angles 59.84, 59.84, 59.84 degrees
Fractional positions:
La1 0.000 0.000 0.000
Nd1 0.000 0.500 0.500
Nd2 0.500 0.000 0.500
Nd3 0.500 0.500 0.000
Sm1 0.000 0.000 0.500
Sm2 0.000 0.500 0.000
Sm3 0.500 0.000 0.000
Sm4 0.500 0.500 0.500
Te1 0.248 0.248 0.248
Te2 0.250 0.747 0.747
Te3 0.253 0.253 0.750
Te4 0.253 0.750 0.253
Te5 0.747 0.250 0.747
Te6 0.747 0.747 0.250
Te7 0.750 0.253 0.253
Te8 0.752 0.752 0.752



[8]
First-principles (PBE) data for K3Y3PuSe8 after structural relaxation, as listed in Alexandria.

Cell lengths 9.175, 9.175, 9.175 Å; angles 54.26, 54.26, 54.26 degrees
Fractional positions:
K1 0.000 0.500 0.500
K2 0.500 0.000 0.500
K3 0.500 0.500 0.000
Y1 0.000 0.000 0.500
Y2 0.000 0.500 0.000
Y3 0.500 0.000 0.000
Pu1 0.500 0.500 0.500
Se1 0.235 0.235 0.235
Se2 0.237 0.731 0.731
Se3 0.269 0.269 0.763
Se4 0.269 0.763 0.269
Se5 0.731 0.237 0.731
Se6 0.731 0.731 0.237
Se7 0.763 0.269 0.269
Se8 0.765 0.765 0.765



no.,VASP energy (eV/cell)
1,-21.47
2,-19.60
3,-21.83
4,-39.38
5,-24.70
6,-49.36
7,-85.98
8,-89.77